# La2ZnFe | Alexandria via LeMat-Bulk | meta-GGA SCAN | PBEsol geometry
# * formation energy: 0.498 eV/f.u.
# * theoretical density: 7.06 g/cm3
data_La2ZnFe
_cell_length_a 3.4813
_cell_length_b 3.4813
_cell_length_c 7.7478
_cell_angle_alpha 90.00
_cell_angle_beta 90.00
_cell_angle_gamma 90.00
_symmetry_space_group_name_H-M 'P 4 m m'
_symmetry_Int_Tables_number 99
loop_
_symmetry_equiv_pos_as_xyz
'x,y,z'
'-y,x,z'
'-x,-y,z'
'y,-x,z'
'-x,y,z'
'y,x,z'
'x,-y,z'
'-y,-x,z'
loop_
_atom_site_label
_atom_site_fract_x
_atom_site_fract_y
_atom_site_fract_z
La1 0.0000 0.0000 0.0000
La2 0.5000 0.5000 0.4045
Zn1 0.0000 0.0000 0.6341
Fe1 0.5000 0.5000 0.7126